Below is an optimized crystal structure of NbAg3Cl, with properties calculated at the PBE level.

Results
Its space-group type is Pm-3m (221). The calculation puts the energy relative to the elements, uncorrected at 130 kJ per mole of atoms. The uncorrected energy is -2.749 eV/atom. The value obtained for the energy relative to the lowest polymorph listed for this composition is 3.69 kcal/mol of atoms.

The structure in POSCAR format:
```
NbAg3Cl
1.0
5.278 0.000 0.000
0.000 5.278 0.000
0.000 0.000 5.278
Nb Ag Cl
1 3 1
direct
0.000 0.000 0.000
0.000 0.000 0.500
0.000 0.500 0.000
0.500 0.000 0.000
0.500 0.500 0.500
```


Below is an optimized crystal structure of TaTi2Nb2Pt5, with properties calculated at the PBE level.

Results
The calculation puts the energy of formation from the pure elements at -0.456 eV per atom. Its space-group type is P4/mbm (127). The uncorrected energy is -8.254 eV/atom.

The structure in POSCAR format:
```
TaTi2Nb2Pt5
1.0
8.992 0.000 0.000
0.000 8.992 0.000
0.000 0.000 4.133
Ta Ti Nb Pt
2 4 4 10
direct
0.000 0.000 0.000
0.500 0.500 0.000
0.123 0.377 0.000
0.377 0.877 0.000
0.623 0.123 0.000
0.877 0.623 0.000
0.179 0.679 0.000
0.321 0.179 0.000
0.679 0.821 0.000
0.821 0.321 0.000
0.000 0.500 0.500
0.068 0.203 0.500
0.203 0.932 0.500
0.297 0.432 0.500
0.432 0.703 0.500
0.500 0.000 0.500
0.568 0.297 0.500
0.703 0.568 0.500
0.797 0.068 0.500
0.932 0.797 0.500
```


Below is an optimized crystal structure of ZrScTl2Te4, with properties calculated at the PBE level.

Results
Its space-group type is P2/m (10). The calculation puts the energy relative to the elements, uncorrected at -74 kJ per mole of atoms. The uncorrected energy is -4.793 eV/atom.

The structure in POSCAR format:
```
ZrScTl2Te4
1.0
7.260 0.000 0.000
0.000 4.161 0.000
-2.389 0.000 8.325
Zr Sc Tl Te
1 1 2 4
direct
0.000 0.000 0.000
0.500 0.500 0.000
0.000 0.500 0.500
0.500 0.000 0.500
0.236 0.500 0.207
0.265 0.000 0.794
0.735 0.000 0.206
0.764 0.500 0.793
```


Below is an optimized crystal structure of LaMgHg6, with properties calculated at the PBE level.

Results
The calculation puts the energy of formation from the pure elements at 0.053 eV per atom. Its space-group type is R-3m (166). The uncorrected energy is -0.989 eV/atom.

The structure in POSCAR format:
```
LaMgHg6
1.0
3.199 1.847 7.815
-3.199 1.847 7.815
0.000 -3.693 7.815
La Mg Hg
1 1 6
direct
0.000 0.000 0.000
0.500 0.500 0.500
0.070 0.070 0.546
0.070 0.546 0.070
0.454 0.930 0.930
0.546 0.070 0.070
0.930 0.454 0.930
0.930 0.930 0.454
```


Below is an optimized crystal structure of NaLa2Os2, with properties calculated at the PBE level.

Results
The calculation puts the energy of formation from the pure elements at 0.343 eV per atom. Its space-group type is I4/mmm (139). The uncorrected energy is -6.383 eV/atom. The value obtained for the energy relative to the lowest polymorph listed for this composition is 0.90 kcal/mol of atoms.

The structure in POSCAR format:
```
NaLa2Os2
1.0
-1.833 1.833 11.030
1.833 -1.833 11.030
1.833 1.833 -11.030
Na La Os
1 2 2
direct
0.000 0.000 0.000
0.361 0.361 0.000
0.639 0.639 0.000
0.250 0.750 0.500
0.750 0.250 0.500
```


Below is an optimized crystal structure of GeSb2Au, with properties calculated at the PBE level.

Results
Its space-group type is R-3m (166). The calculation puts the energy relative to the elements, uncorrected at 35 kJ per mole of atoms. The uncorrected energy is -3.671 eV/atom. The value obtained for the energy relative to the lowest polymorph listed for this composition is 7.67 kcal/mol of atoms.

The structure in POSCAR format:
```
GeSb2Au
1.0
1.961 1.132 8.863
-1.961 1.132 8.863
0.000 -2.265 8.863
Ge Sb Au
1 2 1
direct
0.000 0.000 0.000
0.107 0.107 0.107
0.893 0.893 0.893
0.500 0.500 0.500
```


Below is an optimized crystal structure of TeAsIr2, with properties calculated at the PBE level.

Results
Its space-group type is I-42d (122). The calculation puts the energy relative to the elements, uncorrected at 13 kJ per mole of atoms. The uncorrected energy is -6.241 eV/atom. The value obtained for the energy relative to the lowest polymorph listed for this composition is 6.19 kcal/mol of atoms.

The structure in POSCAR format:
```
TeAsIr2
1.0
-2.704 2.704 6.300
2.704 -2.704 6.300
2.704 2.704 -6.300
Te As Ir
2 2 4
direct
0.000 0.000 0.000
0.750 0.250 0.500
0.250 0.750 0.500
0.500 0.500 0.000
0.159 0.625 0.034
0.375 0.409 0.534
0.591 0.125 0.966
0.875 0.841 0.466
```


Below is an optimized crystal structure of TmScGa, with properties calculated at the PBE level.

Results
The calculation puts the energy of formation from the pure elements at -0.253 eV per atom. Its space-group type is F-43m (216). The uncorrected energy is -4.863 eV/atom. The value obtained for the energy relative to the lowest polymorph listed for this composition is 4.48 kcal/mol of atoms.

The structure in POSCAR format:
```
TmScGa
1.0
0.000 3.377 3.377
3.377 0.000 3.377
3.377 3.377 0.000
Tm Sc Ga
1 1 1
direct
0.000 0.000 0.000
0.500 0.500 0.500
0.250 0.250 0.250
```


Below is an optimized crystal structure of BaMgTe2, with properties calculated at the PBE level.

Results
Its space-group type is Pm (6). The calculation puts the energy relative to the elements, uncorrected at -119 kJ per mole of atoms. The uncorrected energy is -3.686 eV/atom.

The structure in POSCAR format:
```
BaMgTe2
1.0
4.500 0.000 0.000
0.000 4.914 0.000
-2.238 0.000 7.083
Ba Mg Te
1 1 2
direct
0.000 0.000 0.000
0.782 0.500 0.556
0.410 0.500 0.819
0.685 0.000 0.371
```


Below is an optimized crystal structure of SrY2Cu, with properties calculated at the PBE level.

Results
The calculation puts the energy of formation from the pure elements at 0.007 eV per atom. Its space-group type is P4/mmm (123). The uncorrected energy is -4.669 eV/atom. The value obtained for the energy relative to the lowest polymorph listed for this composition is 0.00 kcal/mol of atoms.

The structure in POSCAR format:
```
SrY2Cu
1.0
3.588 0.000 0.000
0.000 3.588 0.000
0.000 0.000 9.607
Sr Y Cu
1 2 1
direct
0.000 0.000 0.000
0.500 0.500 0.329
0.500 0.500 0.671
0.000 0.000 0.500
```


Below is an optimized crystal structure of Ti2RuO, with properties calculated at the PBE level.

Results
Its space-group type is I-42d (122). The calculation puts the energy relative to the elements, uncorrected at -108 kJ per mole of atoms. The uncorrected energy is -8.630 eV/atom.

The structure in POSCAR format:
```
Ti2RuO
1.0
-2.834 2.834 3.696
2.834 -2.834 3.696
2.834 2.834 -3.696
Ti Ru O
4 2 2
direct
0.050 0.625 0.925
0.375 0.300 0.425
0.700 0.125 0.075
0.875 0.950 0.575
0.250 0.750 0.500
0.500 0.500 0.000
0.000 0.000 0.000
0.750 0.250 0.500
```


Below is an optimized crystal structure of TaCdCo, with properties calculated at the PBE level.

Results
The calculation puts the energy of formation from the pure elements at 0.269 eV per atom. Its space-group type is P3m1 (156). The uncorrected energy is -6.355 eV/atom. The value obtained for the energy relative to the lowest polymorph listed for this composition is 3.54 kcal/mol of atoms.

The structure in POSCAR format:
```
TaCdCo
1.0
3.061 0.000 0.000
-1.531 2.651 0.000
0.000 0.000 6.438
Ta Cd Co
1 1 1
direct
0.000 0.000 0.000
0.333 0.667 0.401
0.667 0.333 0.745
```


Below is an optimized crystal structure of KTlAgBr4, with properties calculated at the PBE level.

Results
Its space-group type is P2_1/m (11). The calculation puts the energy relative to the elements, uncorrected at -78 kJ per mole of atoms. The uncorrected energy is -2.663 eV/atom.

The structure in POSCAR format:
```
KTlAgBr4
1.0
8.231 0.000 0.000
0.000 6.314 0.000
-2.934 0.000 9.232
K Tl Ag Br
2 2 2 8
direct
0.236 0.250 0.429
0.764 0.750 0.571
0.200 0.250 0.931
0.800 0.750 0.069
0.242 0.750 0.685
0.758 0.250 0.315
0.073 0.750 0.403
0.075 0.750 0.884
0.493 0.515 0.252
0.493 0.985 0.252
0.507 0.015 0.748
0.507 0.485 0.748
0.925 0.250 0.116
0.927 0.250 0.597
```


Below is an optimized crystal structure of SrGa2Cu4Si, with properties calculated at the PBE level.

Results
Its space-group type is R-3m (166). The calculation puts the energy relative to the elements, uncorrected at -11 kJ per mole of atoms. The uncorrected energy is -3.803 eV/atom.

The structure in POSCAR format:
```
SrGa2Cu4Si
1.0
2.080 1.201 9.207
-2.080 1.201 9.207
0.000 -2.402 9.207
Sr Ga Cu Si
1 2 4 1
direct
0.000 0.000 0.000
0.248 0.248 0.248
0.752 0.752 0.752
0.136 0.136 0.136
0.416 0.416 0.416
0.584 0.584 0.584
0.864 0.864 0.864
0.500 0.500 0.500
```


Below is an optimized crystal structure of TcSbRu2, with properties calculated at the PBE level.

Results
Its space-group type is Amm2 (38). The calculation puts the energy relative to the elements, uncorrected at 25 kJ per mole of atoms. The uncorrected energy is -8.000 eV/atom.

The structure in POSCAR format:
```
TcSbRu2
1.0
4.092 0.000 0.000
0.000 1.445 5.407
0.000 -1.445 5.407
Tc Sb Ru
1 1 2
direct
0.000 0.000 0.000
0.500 0.840 0.840
0.000 0.241 0.241
0.500 0.594 0.594
```


Below is an optimized crystal structure of NdPuHgRh, with properties calculated at the PBE level.

Results
The calculation puts the energy of formation from the pure elements at -0.405 eV per atom. Its space-group type is P4mm (99). The uncorrected energy is -7.093 eV/atom. The value obtained for the energy relative to the lowest polymorph listed for this composition is 0.00 kcal/mol of atoms.

The structure in POSCAR format:
```
NdPuHgRh
1.0
3.559 0.000 0.000
0.000 3.559 0.000
0.000 0.000 7.664
Nd Pu Hg Rh
1 1 1 1
direct
0.000 0.000 0.000
0.000 0.000 0.564
0.500 0.500 0.285
0.500 0.500 0.769
```


Below is an optimized crystal structure of CsUHSe2, with properties calculated at the PBE level.

Results
Its space-group type is P2_1/m (11). The uncorrected energy is -5.388 eV/atom.

The structure in POSCAR format:
```
CsUHSe2
1.0
8.287 0.000 0.000
0.000 4.206 0.000
-3.075 0.000 9.257
Cs U H Se
2 2 2 4
direct
0.185 0.250 0.300
0.815 0.750 0.700
0.336 0.250 0.828
0.664 0.750 0.172
0.070 0.250 0.769
0.930 0.750 0.231
0.304 0.750 0.017
0.330 0.750 0.638
0.670 0.250 0.362
0.696 0.250 0.983
```


Below is an optimized crystal structure of Ho5BiTe4, with properties calculated at the PBE level.

Results
Its space-group type is I4/mmm (139). The calculation puts the energy relative to the elements, uncorrected at -113 kJ per mole of atoms. The uncorrected energy is -5.105 eV/atom. The value obtained for the energy relative to the lowest polymorph listed for this composition is 0.05 kcal/mol of atoms.

The structure in POSCAR format:
```
Ho5BiTe4
1.0
-2.182 2.182 15.390
2.182 -2.182 15.390
2.182 2.182 -15.390
Ho Bi Te
5 1 4
direct
0.000 0.000 0.000
0.201 0.201 0.000
0.399 0.399 0.000
0.601 0.601 0.000
0.799 0.799 0.000
0.500 0.500 0.000
0.101 0.101 0.000
0.300 0.300 0.000
0.700 0.700 0.000
0.899 0.899 0.000
```


Below is an optimized crystal structure of PmBiS2O, with properties calculated at the PBE level.

Results
Its space-group type is P4/nmm (129). The calculation puts the energy relative to the elements, uncorrected at -164 kJ per mole of atoms. The uncorrected energy is -6.071 eV/atom.

The structure in POSCAR format:
```
PmBiS2O
1.0
3.990 0.000 0.000
0.000 3.990 0.000
0.000 0.000 14.231
Pm Bi S O
2 2 4 2
direct
0.250 0.250 0.084
0.750 0.750 0.916
0.250 0.250 0.635
0.750 0.750 0.365
0.250 0.250 0.394
0.250 0.250 0.813
0.750 0.750 0.187
0.750 0.750 0.606
0.250 0.750 0.000
0.750 0.250 0.000
```


Below is an optimized crystal structure of Nd6Dy2Ho3Er, with properties calculated at the PBE level.

Results
The calculation puts the energy of formation from the pure elements at 0.012 eV per atom. Its space-group type is C2/m (12). The uncorrected energy is -4.664 eV/atom.

The structure in POSCAR format:
```
Nd6Dy2Ho3Er
1.0
3.131 -5.422 0.000
3.131 5.422 0.000
-2.080 0.000 11.641
Nd Dy Ho Er
6 2 3 1
direct
0.084 0.417 0.750
0.249 0.249 0.250
0.417 0.084 0.750
0.583 0.916 0.250
0.751 0.751 0.750
0.916 0.583 0.250
0.333 0.667 0.500
0.667 0.333 0.500
0.167 0.833 0.000
0.500 0.500 0.000
0.833 0.167 0.000
0.000 0.000 0.500
```


Below is an optimized crystal structure of TbDy12In6, with properties calculated at the PBE level.

Results
The calculation puts the energy of formation from the pure elements at -0.021 eV per atom. Its space-group type is R-3m (166). The uncorrected energy is -4.036 eV/atom.

The structure in POSCAR format:
```
TbDy12In6
1.0
6.958 4.017 3.716
-6.958 4.017 3.716
0.000 -8.034 3.716
Tb Dy In
1 12 6
direct
0.000 0.000 0.000
0.122 0.500 0.878
0.122 0.878 0.500
0.177 0.443 0.443
0.443 0.177 0.443
0.443 0.443 0.177
0.500 0.122 0.878
0.500 0.878 0.122
0.557 0.557 0.823
0.557 0.823 0.557
0.823 0.557 0.557
0.878 0.122 0.500
0.878 0.500 0.122
0.246 0.246 0.701
0.246 0.701 0.246
0.299 0.754 0.754
0.701 0.246 0.246
0.754 0.299 0.754
0.754 0.754 0.299
```


Below is an optimized crystal structure of Dy4In2H, with properties calculated at the PBE level.

Results
Its space-group type is I4/mmm (139). The uncorrected energy is -4.255 eV/atom. The value obtained for the energy relative to the lowest polymorph listed for this composition is 0.90 kcal/mol of atoms.

The structure in POSCAR format:
```
Dy4In2H
1.0
-2.298 2.298 8.401
2.298 -2.298 8.401
2.298 2.298 -8.401
Dy In H
4 2 1
direct
0.000 0.500 0.500
0.177 0.177 0.000
0.500 0.000 0.500
0.823 0.823 0.000
0.365 0.365 0.000
0.635 0.635 0.000
0.000 0.000 0.000
```


Below is an optimized crystal structure of CsSc2UCl8, with properties calculated at the PBE level.

Results
Its space-group type is R-3 (148). The calculation puts the energy relative to the elements, uncorrected at -164 kJ per mole of atoms. The uncorrected energy is -4.999 eV/atom.

The structure in POSCAR format:
```
CsSc2UCl8
1.0
3.412 1.970 9.708
-3.412 1.970 9.708
0.000 -3.940 9.708
Cs Sc U Cl
1 2 1 8
direct
0.000 0.000 0.000
0.238 0.238 0.238
0.762 0.762 0.762
0.500 0.500 0.500
0.123 0.800 0.416
0.200 0.584 0.877
0.320 0.320 0.320
0.416 0.123 0.800
0.584 0.877 0.200
0.680 0.680 0.680
0.800 0.416 0.123
0.877 0.200 0.584
```


Below is an optimized crystal structure of Th2Zn2Au, with properties calculated at the PBE level.

Results
The calculation puts the energy of formation from the pure elements at -0.384 eV per atom. Its space-group type is C2/m (12). The uncorrected energy is -4.517 eV/atom. The value obtained for the energy relative to the lowest polymorph listed for this composition is 0.00 kcal/mol of atoms.

The structure in POSCAR format:
```
Th2Zn2Au
1.0
5.393 -2.315 0.000
5.393 2.315 0.000
-4.136 0.000 9.333
Th Zn Au
4 4 2
direct
0.024 0.024 0.334
0.183 0.183 0.093
0.817 0.817 0.907
0.976 0.976 0.666
0.365 0.365 0.435
0.483 0.483 0.119
0.517 0.517 0.881
0.635 0.635 0.565
0.268 0.268 0.662
0.732 0.732 0.338
```